# ReSiN2O

A relaxed structure of ReSiN2O (PBE-GGA, Alexandria via LeMat-Bulk).

The theoretical density is 7.21 g/cm3. The total DFT energy (no corrections) comes out at -7.610 eV/atom. As for the space-group type: P4/mmm. For the formation energy (no corrections), the calculation gives 0.286 eV/atom. The density of states at the Fermi level comes out at 1.46 states/eV/cell.

Geometry as extended XYZ:
```
5
Lattice="3.940 0.000 0.000 0.000 3.940 0.000 0.000 0.000 3.835" Properties=species:S:1:pos:R:3 pbc="T T T"
N 0.000 1.970 0.000
N 1.970 0.000 0.000
Si 1.970 1.970 1.918
Re 0.000 0.000 0.000
O 0.000 0.000 1.918
```